Density functional theory data (PBE-GGA) for a relaxed structure of RbSbC2F.

Computed properties:
Total DFT energy (no corrections) in eV/f.u.: -15.63
Total magnetic moment in Bohr magnetons per cell: 3.04

Unit cell a=5.2487 b=5.2487 c=4.2967 alpha=90.00 beta=90.00 gamma=90.00
Last column: nearest neighbours and their distance in Å.
Space group P4/mmm (No. 123)
Symmetry-distinct sites (fractional):
Rb 0.0000 0.0000 0.0000  8 C 3.39, 4 Sb 3.71
Sb 0.5000 0.5000 0.0000  2 F 2.15
C 0.0000 0.5000 0.5000  2 F 2.62
F 0.5000 0.5000 0.5000  2 Sb 2.15

Density functional theory data (PBE-GGA) for a relaxed structure of CuSi2.

Computed properties:
Total DFT energy (no corrections) in eV/f.u.: -14.06
Total magnetic moment in Bohr magnetons per cell: 0.00

Unit cell a=2.7338 b=2.7338 c=10.8411 alpha=90.00 beta=90.00 gamma=90.00
Last column: nearest neighbours and their distance in Å.
Space group I4/mmm (No. 139)
Symmetry-distinct sites (fractional):
Cu 0.0000 0.0000 0.0000  8 Si 2.59, 4 Cu 2.73
Si 0.0000 0.0000 0.3405  4 Cu 2.59, 8 Si 2.73-2.76

Number 1: calculated volume 23.7 A^3/atom, formation energy from raw total energies 1.9564 eV per atom. Number 2: calculated volume 13.5 A^3/atom, formation energy from raw total energies 0.2942 eV per atom.